No. 1
DFT (GGA-PBE) results for an optimized crystal structure of BeReAu2.

Summary:
The electronic total energy comes out at -4.849 eV/atom. As for the formation energy: 0.833 eV per atom.

Unit cell a=3.7170 b=3.7170 c=18.9651 alpha=90.00 beta=90.00 gamma=90.00
Space group I-42d (No. 122)
Asymmetric unit:
Be  0.0000  0.0000  0.0000 [4 per cell]
Re  0.0000  0.0000  0.5000 [4 per cell]
Au  0.2467  0.2500  0.1250 [8 per cell]

No. 2
DFT (GGA-PBE) results for an optimized crystal structure of BS2IN.

Summary:
The electronic total energy comes out at -2.751 eV/atom. The value obtained for the raw formation energy is 2.21 eV per atom. Its energy above the lowest structure with this stoichiometry is 1.669 eV per atom.

Unit cell a=5.1625 b=5.1625 c=3.9792 alpha=90.00 beta=90.00 gamma=90.00
Space group P4/mmm (No. 123)
Asymmetric unit:
B  0.0000  0.0000  0.0000 [1 per cell]
S  0.0000  0.5000  0.5000 [2 per cell]
I  0.5000  0.5000  0.5000 [1 per cell]
N  0.5000  0.5000  0.0000 [1 per cell]

No. 3
DFT (GGA-PBE) results for an optimized crystal structure of Zn2IrOs.

Summary:
The electronic total energy comes out at -5.434 eV/atom. As for the formation energy: 0.226 eV per atom. Its energy above the lowest structure with this stoichiometry is 0.213 eV per atom.

Unit cell a=2.7230 b=3.8580 c=5.4445 alpha=90.00 beta=90.00 gamma=90.00
Space group Pmmm (No. 47)
Asymmetric unit:
Zn  0.0000  0.0000  0.2479 [2 per cell]
Ir  0.5000  0.5000  0.0000 [1 per cell]
Os  0.5000  0.5000  0.5000 [1 per cell]

No. 4
DFT (GGA-PBE) results for an optimized crystal structure of Cs3In4Ga.

Summary:
The electronic total energy comes out at -2.149 eV/atom. As for the formation energy: -0.082 eV per atom.

Unit cell a=6.7261 b=15.5356 c=6.9043 alpha=90.00 beta=90.00 gamma=90.00
Space group Pmmn (No. 59, origin choice 2)
Asymmetric unit:
Cs  0.2500  0.0068  0.2105 [4 per cell]
Cs  0.2500  0.7500  0.4963 [2 per cell]
In  0.0059  0.7500  0.9920 [4 per cell]
In  0.2500  0.1492  0.7003 [4 per cell]
Ga  0.2500  0.2500  0.3420 [2 per cell]

No. 5
DFT (GGA-PBE) results for an optimized crystal structure of Li2SmDy2Mg5.

Summary:
The electronic total energy comes out at -2.591 eV/atom. As for the formation energy: -0.019 eV per atom.

Unit cell a=10.6181 b=10.6181 c=4.4173 alpha=90.00 beta=90.00 gamma=90.00
Space group P4/mbm (No. 127)
Asymmetric unit:
Li  0.1138  0.3862  0.0000 [4 per cell]
Sm  0.0000  0.0000  0.0000 [2 per cell]
Dy  0.1804  0.6804  0.0000 [4 per cell]
Mg  0.0000  0.5000  0.5000 [2 per cell]
Mg  0.0621  0.2166  0.5000 [8 per cell]

No. 6
DFT (GGA-PBE) results for an optimized crystal structure of CdFe2Re.

Summary:
The electronic total energy comes out at -7.313 eV/atom. As for the formation energy: 0.259 eV per atom.

Unit cell a=2.7307 b=2.7307 c=7.6340 alpha=90.00 beta=90.00 gamma=90.00
Space group P4/mmm (No. 123)
Asymmetric unit:
Cd  0.0000  0.0000  0.0000 [1 per cell]
Fe  0.5000  0.5000  0.2735 [2 per cell]
Re  0.0000  0.0000  0.5000 [1 per cell]

No. 7
DFT (GGA-PBE) results for an optimized crystal structure of MgSiB2.

Summary:
The electronic total energy comes out at -4.913 eV/atom. The value obtained for the raw formation energy is 0.18 eV per atom. Its energy above the lowest structure with this stoichiometry is 0.064 eV per atom.

Unit cell a=3.5280 b=4.6934 c=6.2966 alpha=86.84 beta=83.92 gamma=81.99
Space group P1 (No. 1)
Asymmetric unit:
Mg  0.0000  0.0000  0.0000 [1 per cell]
Mg  0.3733  0.2791  0.5494 [1 per cell]
Si  0.7742  0.5657  0.7993 [1 per cell]
Si  0.9156  0.8096  0.4626 [1 per cell]
B  0.2581  0.4766  0.9611 [1 per cell]
B  0.3326  0.6050  0.2226 [1 per cell]
B  0.3858  0.2635  0.1795 [1 per cell]
B  0.4452  0.9260  0.2918 [1 per cell]

No. 8
DFT (GGA-PBE) results for an optimized crystal structure of CeHoW4.

Summary:
The electronic total energy comes out at -10.194 eV/atom. As for the formation energy: 0.194 eV per atom.

Unit cell a=7.8461 b=7.8461 c=7.8461 alpha=90.00 beta=90.00 gamma=90.00
Space group F-43m (No. 216)
Asymmetric unit:
Ce  0.0000  0.0000  0.0000 [4 per cell]
Ho  0.2500  0.2500  0.2500 [4 per cell]
W  0.1252  0.1252  0.6252 [16 per cell]

No. 9
DFT (GGA-PBE) results for an optimized crystal structure of CsAs2IrSe.

Summary:
The electronic total energy comes out at -1.981 eV/atom. The value obtained for the raw formation energy is 2.52 eV per atom. Its energy above the lowest structure with this stoichiometry is 2.395 eV per atom.

Unit cell a=5.6952 b=5.6952 c=5.4327 alpha=90.00 beta=90.00 gamma=90.00
Space group P4/mmm (No. 123)
Asymmetric unit:
Cs  0.0000  0.0000  0.0000 [1 per cell]
As  0.0000  0.5000  0.0000 [2 per cell]
Ir  0.5000  0.5000  0.5000 [1 per cell]
Se  0.0000  0.0000  0.5000 [1 per cell]

No. 10
DFT (GGA-PBE) results for an optimized crystal structure of Ag7Se2S.

Summary:
The electronic total energy comes out at -3.081 eV/atom. The value obtained for the raw formation energy is 0.02 eV per atom.

Unit cell a=12.9116 b=9.1428 c=8.6554 alpha=90.00 beta=129.74 gamma=90.00
Space group C2/c (No. 15)
Asymmetric unit:
Ag  0.0000  0.1322  0.2500 [4 per cell]
Ag  0.0845  0.3589  0.5533 [8 per cell]
Ag  0.1334  0.1484  0.0673 [8 per cell]
Ag  0.2091  0.3746  0.3700 [8 per cell]
Se  0.1501  0.1111  0.7610 [8 per cell]
S  0.0000  0.4754  0.7500 [4 per cell]

No. 11
DFT (GGA-PBE) results for an optimized crystal structure of TcSb2Pt.

Summary:
The electronic total energy comes out at -6.119 eV/atom. The value obtained for the raw formation energy is 0.04 eV per atom. Its energy above the lowest structure with this stoichiometry is 0.114 eV per atom.

Unit cell a=3.2552 b=3.2552 c=8.0218 alpha=90.00 beta=90.00 gamma=90.00
Space group P4mm (No. 99)
Asymmetric unit:
Tc  0.0000  0.0000  0.0000 [1 per cell]
Sb  0.0000  0.0000  0.4039 [1 per cell]
Sb  0.5000  0.5000  0.8057 [1 per cell]
Pt  0.5000  0.5000  0.2123 [1 per cell]

No. 12
DFT (GGA-PBE) results for an optimized crystal structure of Ce2MgSi4Pd3.

Summary:
The electronic total energy comes out at -5.847 eV/atom. The value obtained for the raw formation energy is -0.77 eV per atom.

Unit cell a=4.2037 b=4.2037 c=10.4050 alpha=90.00 beta=90.00 gamma=90.00
Space group P-4m2 (No. 115)
Asymmetric unit:
Ce  0.0000  0.5000  0.2399 [2 per cell]
Mg  0.0000  0.0000  0.5000 [1 per cell]
Si  0.0000  0.0000  0.0000 [1 per cell]
Si  0.0000  0.5000  0.6494 [2 per cell]
Si  0.5000  0.5000  0.0000 [1 per cell]
Pd  0.0000  0.5000  0.8820 [2 per cell]
Pd  0.5000  0.5000  0.5000 [1 per cell]

No. 13
DFT (GGA-PBE) results for an optimized crystal structure of KMnSbSe4.

Summary:
The electronic total energy comes out at -4.504 eV/atom. The value obtained for the raw formation energy is -0.46 eV per atom.

Unit cell a=7.0424 b=6.8442 c=8.9734 alpha=90.00 beta=106.28 gamma=90.00
Space group P2_1/m (No. 11)
Asymmetric unit:
K  0.2144  0.2500  0.4125 [2 per cell]
Mn  0.3216  0.7500  0.1948 [2 per cell]
Sb  0.2253  0.2500  0.8909 [2 per cell]
Se  0.0953  0.7500  0.3486 [2 per cell]
Se  0.1081  0.7500  0.9508 [2 per cell]
Se  0.4415  0.0019  0.7651 [4 per cell]

No. 14
DFT (GGA-PBE) results for an optimized crystal structure of TlFeS2Cl.

Summary:
The electronic total energy comes out at -3.364 eV/atom. The value obtained for the raw formation energy is 0.82 eV per atom. Its energy above the lowest structure with this stoichiometry is 0.920 eV per atom.

Unit cell a=5.1148 b=5.1148 c=5.2216 alpha=90.00 beta=90.00 gamma=90.00
Space group P4/mmm (No. 123)
Asymmetric unit:
Tl  0.0000  0.0000  0.0000 [1 per cell]
Fe  0.5000  0.5000  0.5000 [1 per cell]
S  0.0000  0.5000  0.0000 [2 per cell]
Cl  0.0000  0.0000  0.5000 [1 per cell]

No. 15
DFT (GGA-PBE) results for an optimized crystal structure of RbLaPbBr6.

Summary:
The electronic total energy comes out at -3.787 eV/atom. The value obtained for the raw formation energy is -1.61 eV per atom.

Unit cell a=7.8484 b=7.8484 c=14.8497 alpha=90.00 beta=90.00 gamma=120.00
Space group P-31c (No. 163)
Asymmetric unit:
Rb  0.0000  0.0000  0.0000 [2 per cell]
La  0.3333  0.6667  0.2500 [2 per cell]
Pb  0.3333  0.6667  0.7500 [2 per cell]
Br  0.0096  0.3752  0.1356 [12 per cell]

No. 16
DFT (GGA-PBE) results for an optimized crystal structure of Mo.

Summary:
The electronic total energy comes out at -9.687 eV/atom. As for the formation energy: 1.144 eV per atom. Its energy above the lowest structure with this stoichiometry is 1.144 eV per atom.

Unit cell a=2.6091 b=2.6091 c=2.6091 alpha=90.00 beta=90.00 gamma=90.00
Space group Pm-3m (No. 221)
Asymmetric unit:
Mo  0.0000  0.0000  0.0000 [1 per cell]

No. 17
DFT (GGA-PBE) results for an optimized crystal structure of VSnP2S.

Summary:
The electronic total energy comes out at -5.511 eV/atom. The value obtained for the raw formation energy is 0.10 eV per atom. Its energy above the lowest structure with this stoichiometry is 0.000 eV per atom.

Unit cell a=4.7094 b=4.7094 c=4.4736 alpha=90.00 beta=90.00 gamma=90.00
Space group P4/mmm (No. 123)
Asymmetric unit:
V  0.0000  0.0000  0.0000 [1 per cell]
Sn  0.5000  0.5000  0.5000 [1 per cell]
P  0.0000  0.5000  0.0000 [2 per cell]
S  0.0000  0.0000  0.5000 [1 per cell]

No. 18
DFT (GGA-PBE) results for an optimized crystal structure of CsTiPdSe2.

Summary:
The electronic total energy comes out at -4.675 eV/atom. The value obtained for the raw formation energy is -0.49 eV per atom. Its energy above the lowest structure with this stoichiometry is 0.466 eV per atom.

Unit cell a=5.0795 b=5.0795 c=5.1669 alpha=90.00 beta=90.00 gamma=90.00
Space group P4/mmm (No. 123)
Asymmetric unit:
Cs  0.0000  0.0000  0.0000 [1 per cell]
Ti  0.5000  0.5000  0.5000 [1 per cell]
Pd  0.5000  0.5000  0.0000 [1 per cell]
Se  0.0000  0.5000  0.5000 [2 per cell]

No. 19
DFT (GGA-PBE) results for an optimized crystal structure of LiZnI2N.

Summary:
The electronic total energy comes out at -2.294 eV/atom. The value obtained for the raw formation energy is 0.63 eV per atom. Its energy above the lowest structure with this stoichiometry is 0.460 eV per atom.

Unit cell a=5.5643 b=5.5643 c=4.0160 alpha=90.00 beta=90.00 gamma=90.00
Space group P4/mmm (No. 123)
Asymmetric unit:
Li  0.0000  0.0000  0.0000 [1 per cell]
Zn  0.5000  0.5000  0.5000 [1 per cell]
I  0.0000  0.5000  0.0000 [2 per cell]
N  0.0000  0.0000  0.5000 [1 per cell]

No. 20
DFT (GGA-PBE) results for an optimized crystal structure of LaRe2Te.

Summary:
The electronic total energy comes out at -8.046 eV/atom. The value obtained for the raw formation energy is 0.20 eV per atom.

Unit cell a=3.2029 b=3.2029 c=8.2827 alpha=90.00 beta=90.00 gamma=90.00
Space group P4mm (No. 99)
Asymmetric unit:
La  0.0000  0.0000  0.0000 [1 per cell]
Re  0.0000  0.0000  0.4313 [1 per cell]
Re  0.5000  0.5000  0.2647 [1 per cell]
Te  0.5000  0.5000  0.6704 [1 per cell]

No. 21
DFT (GGA-PBE) results for an optimized crystal structure of Tb2DyC3.

Summary:
The electronic total energy comes out at -6.976 eV/atom. As for the formation energy: -0.054 eV per atom.

Unit cell a=5.7409 b=10.0679 c=7.7160 alpha=90.00 beta=90.00 gamma=90.00
Space group Imma (No. 74)
Asymmetric unit:
Tb  0.0000  0.0711  0.1683 [8 per cell]
Dy  0.0000  0.2500  0.5178 [4 per cell]
C  0.1191  0.0000  0.5000 [8 per cell]
C  0.2500  0.2500  0.2500 [4 per cell]

No. 22
DFT (GGA-PBE) results for an optimized crystal structure of AgAs2Cl6.

Summary:
The electronic total energy comes out at -3.040 eV/atom. The value obtained for the raw formation energy is -0.46 eV per atom.

Unit cell a=11.4515 b=11.1392 c=10.6617 alpha=90.00 beta=119.09 gamma=90.00
Space group C2/c (No. 15)
Asymmetric unit:
Ag  0.0000  0.0949  0.2500 [4 per cell]
As  0.1437  0.4546  0.1982 [8 per cell]
Cl  0.1122  0.2568  0.1523 [8 per cell]
Cl  0.1242  0.0647  0.6770 [8 per cell]
Cl  0.1331  0.4848  0.4472 [8 per cell]

No. 23
DFT (GGA-PBE) results for an optimized crystal structure of Bi2Te2Pd7Pt.

Summary:
The electronic total energy comes out at -4.879 eV/atom. The value obtained for the raw formation energy is -0.18 eV per atom.

Unit cell a=5.7771 b=5.7781 c=15.1636 alpha=90.00 beta=96.45 gamma=90.00
Space group C2/m (No. 12)
Asymmetric unit:
Bi  0.1319  0.0000  0.4094 [4 per cell]
Te  0.0712  0.5000  0.2395 [4 per cell]
Pd  0.0000  0.5000  0.0000 [2 per cell]
Pd  0.1331  0.5000  0.4183 [4 per cell]
Pd  0.2118  0.2501  0.8703 [8 per cell]
Pt  0.0000  0.0000  0.0000 [2 per cell]